Record 1
The following is a PBE calculation of crystalline V2FePd2 at its relaxed geometry, from the Alexandria database.

Cell lengths 3.322, 3.322, 7.236 Å; angles 76.73, 76.73, 90.00 degrees
Sites, in units of the cell vectors:
Fe 0.000 0.000 0.000
Pd 0.403 0.403 0.194
Pd 0.597 0.597 0.806
V 0.750 0.250 0.500
V 0.250 0.750 0.500

Summary:
energy above the most stable polymorph in this dataset = 38.0 kJ per mole of atoms
SG = I4/mmm (139)
DFT total energy = -35.64 eV/cell
total magnetization = 3.2 μB/f.u.
N(E_F) = 5.7 states/eV/f.u.
energy relative to the elements = 290 meV/atom

***

Record 2
The following is a PBE calculation of crystalline VFe3Pd at its relaxed geometry, from the Alexandria database.

Cell lengths 4.217, 4.217, 4.217 Å; angles 90.00, 90.00, 90.00 degrees
Sites, in units of the cell vectors:
Fe 0.000 0.500 0.000
Fe 0.000 0.000 0.500
Fe 0.500 0.000 0.000
Pd 0.500 0.500 0.500
V 0.000 0.000 0.000

Summary:
energy above the most stable polymorph in this dataset = 0.0 kJ per mole of atoms
SG = Pm-3m (221)
DFT total energy = -34.83 eV/cell
total magnetization = 4.8 μB/f.u.
N(E_F) = 5.5 states/eV/f.u.
energy relative to the elements = 973 meV/atom

***

Record 3
The following is a PBE calculation of crystalline VFePd3 at its relaxed geometry, from the Alexandria database.

Cell lengths 4.902, 5.217, 6.884 Å; angles 112.28, 90.01, 90.00 degrees
Sites, in units of the cell vectors:
V 0.750 0.827 0.653
V 0.250 0.173 0.347
Fe 0.750 0.471 0.942
Fe 0.250 0.529 0.058
Pd 0.750 0.918 0.334
Pd 0.750 0.416 0.334
Pd 0.250 0.584 0.666
Pd 0.250 0.082 0.666
Pd 0.000 0.000 0.000
Pd 0.500 0.000 0.000

Summary:
energy above the most stable polymorph in this dataset = 33.4 kJ per mole of atoms
SG = Cmcm (63)
DFT total energy = -63.51 eV/cell
total magnetization = 4.4 μB/f.u.
N(E_F) = 6.2 states/eV/f.u.
energy relative to the elements = 281 meV/atom

***

Record 4
The following is a PBE calculation of crystalline VFePd at its relaxed geometry, from the Alexandria database.

Cell lengths 3.766, 3.766, 6.061 Å; angles 101.09, 101.09, 89.38 degrees
Sites, in units of the cell vectors:
V 0.914 0.914 0.727
V 0.086 0.086 0.273
Pd 0.395 0.395 0.682
Pd 0.605 0.605 0.318
Fe 0.500 0.000 0.000
Fe 0.000 0.500 0.000

Summary:
energy above the most stable polymorph in this dataset = 6.6 kJ per mole of atoms
SG = C2/m (12)
DFT total energy = -45.57 eV/cell
total magnetization = 0.1 μB/f.u.
N(E_F) = 2.8 states/eV/f.u.
energy relative to the elements = -4 meV/atom